# 1
The following is a PBE-GGA calculation of a geometry-optimized ReAsBr2 structure, from Alexandria.

E_form (uncorrected)   1147 meV/atom
E   -15.85 eV for the cell shown
Offset from the most stable computed form   4.009 eV/f.u.
Total magnetic moment   1.9 μB/f.u.

Lattice parameters (Å, degrees): 4.810 4.810 4.810 60.00 60.00 60.00
Element x y z (fractional)
Re (0.250, 0.250, 0.250)
As (0.500, 0.500, 0.500)
Br (0.000, 0.000, 0.000)
Br (0.750, 0.750, 0.750)

---

# 2
The following is a PBE-GGA calculation of a geometry-optimized ReAsBr2 structure, from Alexandria.

E_form (uncorrected)   808 meV/atom
E   -17.21 eV for the cell shown
Offset from the most stable computed form   2.654 eV/f.u.
Total magnetic moment   0.0 μB/f.u.

Lattice parameters (Å, degrees): 3.213 3.213 11.521 90.00 90.00 124.64
Element x y z (fractional)
Re (0.500, 0.500, 0.250)
Br (0.000, 0.000, 0.072)
Br (0.000, 0.000, 0.428)
As (0.500, 0.500, 0.750)

---

# 3
The following is a PBE-GGA calculation of a geometry-optimized ReAsBr2 structure, from Alexandria.

E_form (uncorrected)   159 meV/atom
E   -19.81 eV for the cell shown
Offset from the most stable computed form   0.056 eV/f.u.
Total magnetic moment   0.0 μB/f.u.

Lattice parameters (Å, degrees): 3.305 7.701 7.700 36.08 90.00 90.00
Element x y z (fractional)
Re (0.500, 0.250, 0.250)
As (0.500, 0.750, 0.750)
Br (0.000, 0.388, 0.388)
Br (0.000, 0.112, 0.112)

---

# 4
The following is a PBE-GGA calculation of a geometry-optimized Re2AsBr structure, from Alexandria.

E_form (uncorrected)   934 meV/atom
E   -27.48 eV for the cell shown
Offset from the most stable computed form   2.885 eV/f.u.
Total magnetic moment   0.0 μB/f.u.

Lattice parameters (Å, degrees): 2.987 5.273 5.366 48.79 90.00 90.00
Element x y z (fractional)
Re (0.500, 0.500, 0.000)
Re (0.000, 0.000, 0.000)
Br (0.000, 0.000, 0.500)
As (0.500, 0.500, 0.500)

---

# 5
The following is a PBE-GGA calculation of a geometry-optimized ReAsBr2 structure, from Alexandria.

E_form (uncorrected)   280 meV/atom
E   -19.32 eV for the cell shown
Offset from the most stable computed form   0.539 eV/f.u.
Total magnetic moment   0.0 μB/f.u.

Lattice parameters (Å, degrees): 3.061 3.793 8.940 90.00 90.00 90.00
Element x y z (fractional)
Re (0.000, 0.000, 0.667)
Br (0.500, 0.500, 0.308)
Br (0.000, 0.000, 0.935)
As (0.500, 0.500, 0.591)

---

# 6
The following is a PBE-GGA calculation of a geometry-optimized Re2AsBr structure, from Alexandria.

E_form (uncorrected)   285 meV/atom
E   -30.08 eV for the cell shown
Offset from the most stable computed form   0.289 eV/f.u.
Total magnetic moment   0.0 μB/f.u.

Lattice parameters (Å, degrees): 2.963 2.963 8.789 90.00 90.00 90.00
Element x y z (fractional)
Re (0.500, 0.500, 0.224)
Re (0.000, 0.000, 0.031)
Br (0.500, 0.500, 0.825)
As (0.000, 0.000, 0.420)

---

# 7
The following is a PBE-GGA calculation of a geometry-optimized ReAs2RhBr structure, from Alexandria.

E_form (uncorrected)   1019 meV/atom
E   -25.68 eV for the cell shown
Offset from the most stable computed form   0.000 eV/f.u.
Total magnetic moment   1.3 μB/f.u.

Lattice parameters (Å, degrees): 4.706 4.706 5.418 90.00 90.00 90.00
Element x y z (fractional)
As (0.000, 0.500, 0.000)
As (0.500, 0.000, 0.000)
Rh (0.500, 0.500, 0.500)
Br (0.000, 0.000, 0.500)
Re (0.000, 0.000, 0.000)

---

# 8
The following is a PBE-GGA calculation of a geometry-optimized ReAs2SBr structure, from Alexandria.

E_form (uncorrected)   1587 meV/atom
E   -19.61 eV for the cell shown
Offset from the most stable computed form   4.168 eV/f.u.
Total magnetic moment   2.9 μB/f.u.

Lattice parameters (Å, degrees): 4.691 4.691 4.662 90.00 90.00 90.00
Element x y z (fractional)
Br (0.000, 0.000, 0.500)
As (0.500, 0.000, 0.000)
As (0.000, 0.500, 0.000)
S (0.000, 0.000, 0.000)
Re (0.500, 0.500, 0.500)